[1]
VASP calculation (GGA-PBE) on a geometry-optimized Ho5ScGe4 structure.

```
Ho5ScGe4
1.0
-0.9640 3.2112 3.4789
-6.5064 -1.9733 0.0186
8.5858 -4.8577 3.5080
Ho Ge Sc
5 4 1
Cartesian
-3.7352 0.6189 1.7487
0.5505 -1.9212 5.2810
-2.7419 -2.7098 1.7416
0.5650 -1.6986 1.7245
3.8573 -0.9100 5.2639
1.7053 0.2400 3.6061
-0.5898 -3.8598 3.3995
2.6541 -3.0483 6.9043
-1.5386 -0.5715 0.1012
-0.4820 1.6056 1.7394
```

Values from the calculation:
Formation enthalpy at 0 K (eV/atom): -0.6192
E (Ha/atom): -0.1980
Spin magnetization (μB per atom): 0.0000

=====

[2]
VASP calculation (GGA-PBE) on a geometry-optimized RbUAgSe4 structure.

```
RbUAgSe4
1.0
6.7392 0.0000 -1.2635
0.0000 6.9082 0.0000
-4.3232 0.0000 9.8951
Se Rb Ag U
8 2 2 2
Cartesian
4.6011 0.1244 1.9345
-2.1851 6.7838 6.6972
1.3077 5.1812 5.3777
0.8937 1.7271 7.2488
-2.1851 3.5785 6.6972
1.5223 5.1812 1.3829
4.6011 3.3297 1.9345
1.1083 1.7271 3.2540
1.9328 1.7271 -0.0231
0.4832 5.1812 8.6548
2.6578 1.7271 5.3034
-0.2418 5.1812 3.3282
3.1899 5.1812 3.4915
-0.7739 1.7271 5.1402
```

Values from the calculation:
E (Ha/atom): -0.1818
E_form (uncorrected) (eV per atom): -0.799
Spin magnetization (μB per atom): 0.0302